Record 1
# PrSm2Dy8

Crystalline PrSm2Dy8 at its relaxed geometry (PBE, the Alexandria database).

a b c (Å): 5.531 8.147 16.041
angles (deg): 90.00 90.00 90.00
Space group Immm (No. 71)
One atom of each set of equivalent atoms:
Pr 0.000 0.000 0.000 (multiplicity 2)
Sm 0.000 0.000 0.300 (multiplicity 4)
Dy 0.000 0.205 0.500 (multiplicity 4)
Dy 0.000 0.294 0.139 (multiplicity 8)
Dy 0.000 0.500 0.338 (multiplicity 4)

total energy = -49.79 eV/f.u.
E_form = 0.1130 eV per atom

=====

Record 2
# ErHfMg2

Crystalline ErHfMg2 at its relaxed geometry (PBE, the Alexandria database).

a b c (Å): 3.2294 3.2294 32.5431
angles (deg): 90.00 90.00 120.00
Space group R-3m (No. 166, hexagonal axes)
One atom of each set of equivalent atoms:
Er 0.0000 0.0000 0.0000 (multiplicity 3)
Hf 0.0000 0.0000 0.5000 (multiplicity 3)
Mg 0.0000 0.0000 0.2465 (multiplicity 6)

total energy = -17.18 eV/f.u.
E_form = 0.1311 eV per atom

=====

Record 3
# Dy2HoTh4

Crystalline Dy2HoTh4 at its relaxed geometry (PBE, the Alexandria database).

a b c (Å): 3.564 35.957 3.550
angles (deg): 90.00 90.00 90.00
Space group Cmmm (No. 65)
One atom of each set of equivalent atoms:
Dy 0.000 0.208 0.000 (multiplicity 4)
Ho 0.000 0.500 0.500 (multiplicity 2)
Th 0.000 0.071 0.000 (multiplicity 4)
Th 0.000 0.360 0.500 (multiplicity 4)

total energy = -42.88 eV/f.u.
E_form = 0.0833 eV per atom

=====

Record 4
# Tb3Ho2Mg8

Crystalline Tb3Ho2Mg8 at its relaxed geometry (PBE, the Alexandria database).

a b c (Å): 5.8318 5.8318 37.0522
angles (deg): 90.00 90.00 120.00
Space group R-3m (No. 166, hexagonal axes)
One atom of each set of equivalent atoms:
Tb 0.0000 0.0000 0.0000 (multiplicity 3)
Tb 0.0000 0.0000 0.1834 (multiplicity 6)
Ho 0.0000 0.0000 0.3598 (multiplicity 6)
Mg 0.0000 0.0000 0.2750 (multiplicity 6)
Mg 0.0006 0.5003 0.7694 (multiplicity 18)

total energy = -34.19 eV/f.u.
E_form = 0.1240 eV per atom

=====

Record 5
# TiBiSe2

Crystalline TiBiSe2 at its relaxed geometry (PBE, the Alexandria database).

a b c (Å): 4.126 4.126 5.882
angles (deg): 90.00 90.00 90.00
Space group P4/mmm (No. 123)
One atom of each set of equivalent atoms:
Ti 0.000 0.000 0.000 (multiplicity 1)
Bi 0.500 0.500 0.500 (multiplicity 1)
Se 0.000 0.000 0.500 (multiplicity 1)
Se 0.500 0.500 0.000 (multiplicity 1)

total energy = -19.72 eV/f.u.
ΔE_f (raw) = -0.98 eV per formula unit

=====

Record 6
# La6NiSn3

Crystalline La6NiSn3 at its relaxed geometry (PBE, the Alexandria database).

a b c (Å): 12.244 15.506 7.563
angles (deg): 90.00 90.00 90.00
Space group Cmc2_1 (No. 36)
One atom of each set of equivalent atoms:
La 0.000 0.004 0.000 (multiplicity 4)
La 0.000 0.237 0.904 (multiplicity 4)
La 0.152 0.249 0.389 (multiplicity 8)
La 0.165 0.468 0.905 (multiplicity 8)
Ni 0.000 0.141 0.234 (multiplicity 4)
Sn 0.000 0.389 0.601 (multiplicity 4)
Sn 0.181 0.113 0.719 (multiplicity 8)

total energy = -51.29 eV/f.u.
E_form = -0.3940 eV per atom

=====

The following total moment values (in μB per atom) correspond, in order, to the records above: 0.000, 0.000, 0.000, 0.000, 0.572, 0.000.